HgIr2Os | PBE-GGA | relaxed

Cell: 2.8088 2.8088 27.9758 Å, 90.00 90.00 120.00°
Space group R3m (No. 160, hexagonal axes)
One atom of each set of equivalent atoms:
Hg: 0.0000 0.0000 0.0000 [3 per cell]
Ir: 0.0000 0.0000 0.2442 [3 per cell]
Ir: 0.0000 0.0000 0.4984 [3 per cell]
Os: 0.0000 0.0000 0.7571 [3 per cell]

=====

BC5 | PBE-GGA | relaxed

Cell: 2.5201 7.8251 3.6618 Å, 90.00 90.00 90.00°
Space group Pmma (No. 51)
One atom of each set of equivalent atoms:
B: 0.2500 0.0000 0.1685 [2 per cell]
C: 0.2500 0.1807 0.3803 [4 per cell]
C: 0.2500 0.3387 0.1227 [4 per cell]
C: 0.2500 0.5000 0.3756 [2 per cell]

For the relative energy among the computed polymorphs, the calculation gives 0.059 eV/atom.

=====

KSr2P | PBE-GGA | relaxed

Cell: 4.3285 4.3285 10.0349 Å, 90.00 90.00 90.00°
Space group P4mm (No. 99)
One atom of each set of equivalent atoms:
K: 0.0000 0.0000 0.0000 [1 per cell]
Sr: 0.0000 0.0000 0.3799 [1 per cell]
Sr: 0.5000 0.5000 0.6602 [1 per cell]
P: 0.5000 0.5000 0.3740 [1 per cell]

=====

Magnetic moment in μB per formula unit, matching the order above: 0.08 0.00 0.32
Energy relative to the elements in eV per atom, matching the order above: 0.415 0.268 -0.395
Total DFT energy (no corrections) in eV per atom, matching the order above: -6.899 -8.531 -2.863